Run one
## BaTe2SeN (PBE-GGA)

Data for an optimized crystal structure of BaTe2SeN.

extended XYZ file:
```
5
Lattice="-5.348 -2.874 0.634 1.241 -1.009 5.891 -1.665 3.299 0.916" Properties=species:S:1:pos:R:3 pbc="T T T"
Se 0.000 0.000 0.000
N -0.832 1.650 0.458
Te -2.674 -1.437 0.317
Te 0.620 -0.505 2.946
Ba -2.886 -0.292 3.720
```

## Properties
- Crystal system: tetragonal

Run two
## BaTe2SeN (PBE-GGA)

Data for an optimized crystal structure of BaTe2SeN.

extended XYZ file:
```
5
Lattice="-0.846 6.498 -0.903 0.535 -0.839 -6.539 -4.631 -0.644 -0.296" Properties=species:S:1:pos:R:3 pbc="T T T"
N -2.315 -0.322 -0.148
Ba 0.000 0.000 0.000
Se -2.471 2.507 -3.869
Te 0.268 -0.420 -3.270
Te -0.423 3.249 -0.452
```

## Properties
- Crystal system: tetragonal

Most stable: run one. Least stable: run two.

Run one
## BaTlSe2N (PBE-GGA)

Data for an optimized crystal structure of BaTlSe2N.

extended XYZ file:
```
5
Lattice="6.244 0.000 0.000 0.000 6.244 0.000 0.000 0.000 5.329" Properties=species:S:1:pos:R:3 pbc="T T T"
Se 3.122 0.000 0.000
Se 0.000 3.122 0.000
N 0.000 0.000 2.665
Ba 0.000 0.000 0.000
Tl 3.122 3.122 2.665
```

## Properties
- Crystal system: tetragonal

Run two
## BaTlSe2N (PBE-GGA)

Data for an optimized crystal structure of BaTlSe2N.

extended XYZ file:
```
5
Lattice="5.600 0.000 0.000 0.000 5.600 0.000 0.000 0.000 4.512" Properties=species:S:1:pos:R:3 pbc="T T T"
Ba 2.800 2.800 2.256
Se 0.000 2.800 0.000
Se 2.800 0.000 0.000
Tl 0.000 0.000 0.000
N 0.000 0.000 2.256
```

## Properties
- Crystal system: tetragonal

Most stable: run two. Least stable: run one.

Run one
## BaVSe2N (PBE-GGA)

Data for an optimized crystal structure of BaVSe2N.

extended XYZ file:
```
5
Lattice="-0.059 -2.717 -4.497 1.120 -4.400 2.644 -3.708 -0.671 0.454" Properties=species:S:1:pos:R:3 pbc="T T T"
Se 0.560 -2.200 1.322
Se -0.029 -1.358 -2.248
V 0.000 0.000 0.000
Ba -1.323 -3.894 -0.700
N -1.854 -0.336 0.227
```

## Properties
- Crystal system: tetragonal

Run two
## BaVSe2N (PBE-GGA)

Data for an optimized crystal structure of BaVSe2N.

extended XYZ file:
```
5
Lattice="5.941 0.000 0.000 0.000 5.941 0.000 0.000 0.000 4.659" Properties=species:S:1:pos:R:3 pbc="T T T"
N 0.000 0.000 2.330
Se 2.970 0.000 0.000
Se 0.000 2.970 0.000
Ba 0.000 0.000 0.000
V 2.970 2.970 2.330
```

## Properties
- Crystal system: tetragonal

Most stable: run one. Least stable: run two.

Run one
## BaWSeN2 (PBE-GGA)

Data for an optimized crystal structure of BaWSeN2.

extended XYZ file:
```
5
Lattice="4.288 0.000 0.000 0.000 4.288 0.000 0.000 0.000 6.513" Properties=species:S:1:pos:R:3 pbc="T T T"
N 0.000 2.144 0.000
N 2.144 0.000 0.000
Ba 0.000 0.000 0.000
Se 0.000 0.000 3.257
W 2.144 2.144 3.257
```

## Properties
- Crystal system: tetragonal

Run two
## BaWSeN2 (PBE-GGA)

Data for an optimized crystal structure of BaWSeN2.

extended XYZ file:
```
5
Lattice="4.173 0.000 0.000 0.000 4.173 0.000 0.000 0.000 5.126" Properties=species:S:1:pos:R:3 pbc="T T T"
N 2.087 0.000 0.000
N 0.000 2.087 0.000
Se 0.000 0.000 2.563
W 0.000 0.000 0.000
Ba 2.087 2.087 2.563
```

## Properties
- Crystal system: tetragonal

Most stable: run two. Least stable: run one.

Run one
## BaYSe2N (PBE-GGA)

Data for an optimized crystal structure of BaYSe2N.

extended XYZ file:
```
5
Lattice="5.604 0.000 0.000 0.000 5.604 0.000 0.000 0.000 4.571" Properties=species:S:1:pos:R:3 pbc="T T T"
Ba 2.802 2.802 2.286
Se 0.000 2.802 0.000
Se 2.802 0.000 0.000
Y 0.000 0.000 0.000
N 0.000 0.000 2.286
```

## Properties
- Crystal system: tetragonal

Run two
## BaYSe2N (PBE-GGA)

Data for an optimized crystal structure of BaYSe2N.

extended XYZ file:
```
5
Lattice="5.848 0.000 0.000 0.000 5.848 0.000 0.000 0.000 4.317" Properties=species:S:1:pos:R:3 pbc="T T T"
Se 0.000 2.924 0.000
Se 2.924 0.000 0.000
Ba 0.000 0.000 0.000
Y 2.924 2.924 2.158
N 0.000 0.000 2.158
```

## Properties
- Crystal system: tetragonal

Most stable: run one. Least stable: run two.

Run one
## BaYSeN2 (PBE-GGA)

Data for an optimized crystal structure of BaYSeN2.

extended XYZ file:
```
5
Lattice="-0.253 4.663 -0.119 -1.895 0.006 4.270 5.115 0.336 2.269" Properties=species:S:1:pos:R:3 pbc="T T T"
N -0.947 0.003 2.135
N -0.127 2.332 -0.060
Y 0.000 0.000 0.000
Ba 1.483 2.503 3.210
Se 2.558 0.168 1.135
```

## Properties
- Crystal system: tetragonal

Run two
## BaYSeN2 (PBE-GGA)

Data for an optimized crystal structure of BaYSeN2.

extended XYZ file:
```
5
Lattice="4.495 0.000 0.000 0.000 4.495 0.000 0.000 0.000 6.132" Properties=species:S:1:pos:R:3 pbc="T T T"
Ba 0.000 0.000 0.000
Se 0.000 0.000 3.066
N 0.000 2.247 0.000
N 2.247 0.000 0.000
Y 2.247 2.247 3.066
```

## Properties
- Crystal system: tetragonal

Most stable: run one. Least stable: run two.